## MnAg2F5 (PBE with a Hubbard U)

Data for a relaxed structure of MnAg2F5.

Lattice parameters (Å, degrees): 5.654 8.372 6.297 65.25 63.32 70.26
Positions (direct):
F1 0.595 0.390 0.988
F2 0.826 0.259 0.598
F3 0.841 0.034 0.064
F4 0.875 0.677 0.141
F5 0.061 0.534 0.564
F6 0.076 0.308 0.031
F7 0.307 0.177 0.641
F8 0.586 0.808 0.531
F9 0.027 0.890 0.488
F10 0.316 0.759 0.098
Ag1 0.277 0.604 0.787
Ag2 0.625 0.963 0.842
Ag3 0.570 0.463 0.342
Ag4 0.332 0.104 0.287
Mn1 0.951 0.784 0.315
Mn2 0.951 0.284 0.815

Its size of the total moment is 3.91 μB per formula unit. The calculation puts the calculated total energy at -4.57 eV per atom.